No. 1
RbPrRu2O8 after structural relaxation, computed with GGA-PBE.

Lattice parameters (Å, degrees): 6.0811 6.0811 8.1701 90.00 90.00 120.00
Space group P-3 (No. 147)
One atom of each set of equivalent atoms:
Rb 0.0000 0.0000 0.0000
Pr 0.0000 0.0000 0.5000
Ru 0.3333 0.6667 0.7627
O 0.1636 0.3454 0.6856
O 0.3333 0.6667 0.9768

Output
Formation energy from raw total energies ... -1.456 eV/atom
Volume ... 21.80 A^3/atom

=====

No. 2
Cd2Ga2Pd after structural relaxation, computed with GGA-PBE.

Lattice parameters (Å, degrees): 7.180 7.180 4.009 90.00 90.00 90.00
Space group P4/mbm (No. 127)
One atom of each set of equivalent atoms:
Cd 0.143 0.357 0.000
Ga 0.168 0.668 0.500
Pd 0.000 0.000 0.000

Output
Polymorph energy (0 for the lowest one) ... 4.52 kcal/mol of atoms
Volume ... 20.67 A^3/atom
Calculated formation energy ... 86 meV per atom

=====

No. 3
Tc2Mo5W2 after structural relaxation, computed with GGA-PBE.

Lattice parameters (Å, degrees): 2.709 6.940 7.769 79.45 89.83 82.01
Space group P-1 (No. 2)
One atom of each set of equivalent atoms:
Tc 0.219 0.000 0.343
Mo 0.000 0.000 0.000
Mo 0.299 0.666 0.885
Mo 0.389 0.333 0.444
W 0.099 0.332 0.776

Output
Volume ... 15.79 A^3/atom
Calculated formation energy ... 135 meV per atom

=====

No. 4
CsSrBiF6 after structural relaxation, computed with GGA-PBE.

Lattice parameters (Å, degrees): 8.524 8.764 12.502 90.00 90.00 90.00
Space group Imma (No. 74)
One atom of each set of equivalent atoms:
Cs 0.000 0.250 0.065
Sr 0.250 0.250 0.750
Bi 0.000 0.000 0.500
F 0.000 0.250 0.443
F 0.000 0.250 0.835
F 0.195 0.052 0.618

Output
Formation energy from raw total energies ... -2.989 eV/atom
Volume ... 25.94 A^3/atom

=====

No. 5
Cs3TlCl6 after structural relaxation, computed with GGA-PBE.

Lattice parameters (Å, degrees): 11.756 11.756 11.756 90.00 90.00 90.00
Space group Fm-3m (No. 225)
One atom of each set of equivalent atoms:
Cs 0.000 0.000 0.000
Cs 0.250 0.250 0.250
Tl 0.000 0.000 0.500
Cl 0.000 0.000 0.277

Output
Polymorph energy (0 for the lowest one) ... 0.79 kcal/mol of atoms
Formation energy from raw total energies ... -1.476 eV/atom
Volume ... 40.61 A^3/atom

=====

No. 6
TaAlBr after structural relaxation, computed with GGA-PBE.

Lattice parameters (Å, degrees): 6.276 6.276 6.276 90.00 90.00 90.00
Space group F-43m (No. 216)
One atom of each set of equivalent atoms:
Ta 0.000 0.000 0.000
Al 0.000 0.000 0.500
Br 0.250 0.250 0.750

Output
Polymorph energy (0 for the lowest one) ... 32.13 kcal/mol of atoms
Formation energy from raw total energies ... 1.143 eV/atom
Volume ... 20.60 A^3/atom

=====

No. 7
LaMn2Ni after structural relaxation, computed with GGA-PBE.

Lattice parameters (Å, degrees): 4.1367 4.1367 15.8672 90.00 90.00 120.00
Space group R-3m (No. 166, hexagonal axes)
One atom of each set of equivalent atoms:
La 0.0000 0.0000 0.0000
Mn 0.0000 0.0000 0.2042
Ni 0.0000 0.0000 0.5000

Output
Volume ... 19.60 A^3/atom
Calculated formation energy ... 130 meV per atom

=====

No. 8
NaScC after structural relaxation, computed with GGA-PBE.

Lattice parameters (Å, degrees): 5.275 4.065 6.060 90.00 90.98 90.00
Space group Pm (No. 6)
One atom of each set of equivalent atoms:
Na 0.000 0.000 0.000
Na 0.498 0.500 0.891
Sc 0.489 0.000 0.421
Sc 0.990 0.500 0.460
C 0.354 0.500 0.304
C 0.617 0.500 0.309

Output
Polymorph energy (0 for the lowest one) ... 5.69 kcal/mol of atoms
Volume ... 21.65 A^3/atom
Calculated formation energy ... 104 meV per atom

=====

Final energy in eV/cell, matching the order above: -81.433; -25.290; -99.582; -178.173; -123.065; -55.354; -85.578; -33.128